1.
! SmErPu2Se5 (GGA-PBE, optimized geometry); values from VASP
! Density   7.05 g/cm3
! Raw formation energy   -1.183 eV per atom
! Energy   -7.3351 eV per atom
! Total magnetization   11.8 Bohr magnetons per cell
&SYSTEM
  ibrav = 0, nat = 9, ntyp = 4
/
ATOMIC_SPECIES
Sm 150.36 Sm.upf
Er 167.26 Er.upf
Pu 244.00 Pu.upf
Se 78.96 Se.upf
ATOMIC_POSITIONS angstrom
Sm 0.0000 0.0000 0.0000
Er 0.0000 0.0000 5.4418
Pu 2.5494 2.5494 3.3744
Pu 2.5494 2.5494 7.5092
Se 0.0000 2.5494 5.4418
Se 2.5494 0.0000 5.4418
Se 0.0000 0.0000 8.1862
Se 0.0000 0.0000 2.6974
Se 2.5494 2.5494 0.0000
CELL_PARAMETERS angstrom
5.0987 0.0000 0.0000
0.0000 5.0987 0.0000
0.0000 0.0000 10.8835

2.
! SmEr3Pu2Se6 (GGA-PBE, optimized geometry); values from VASP
! Density   9.20 g/cm3
! Raw formation energy   -1.690 eV per atom
! Energy   -7.3545 eV per atom
! Total magnetization   11.8 Bohr magnetons per cell
&SYSTEM
  ibrav = 0, nat = 12, ntyp = 4
/
ATOMIC_SPECIES
Sm 150.36 Sm.upf
Er 167.26 Er.upf
Pu 244.00 Pu.upf
Se 78.96 Se.upf
ATOMIC_POSITIONS angstrom
Sm 0.0000 0.0000 0.0000
Er -0.0977 -5.7125 -0.9909
Er -5.4033 -0.3007 2.0828
Er -2.7505 -3.0066 0.5459
Pu -1.0755 -2.3473 -3.1545
Pu -3.7238 0.3540 -1.6202
Se -5.4292 -3.1030 1.5542
Se -3.7871 -2.5425 -2.0605
Se -0.0718 -2.9101 -0.4623
Se -2.7656 -5.8199 0.0110
Se -1.7139 -3.4707 3.1524
Se -2.7353 -0.1932 1.0808
CELL_PARAMETERS angstrom
-6.3694 3.0526 -0.0875
1.5700 -5.0458 -4.6872
-0.7016 -4.0199 5.8666